{"formula": "RbFe3Pd4", "functional": "GGA-PBE", "state": "optimized geometry", "cell": [[5.3188, 0.0000, 0.0000], [0.0000, 5.3188, 0.0000], [0.0000, 0.0000, 5.3188]], "species": ["Rb", "Fe", "Fe", "Fe", "Pd", "Pd", "Pd", "Pd"], "frac_coords": [[0.0000, 0.0000, 0.0000], [0.0000, 0.5000, 0.5000], [0.5000, 0.0000, 0.5000], [0.5000, 0.5000, 0.0000], [0.0000, 0.0000, 0.5000], [0.0000, 0.5000, 0.0000], [0.5000, 0.0000, 0.0000], [0.5000, 0.5000, 0.5000]], "energy_ry_per_atom": -0.3701, "magnetic_moment_mub_per_fu": 10.7}

{"formula": "RbFePd", "functional": "GGA-PBE", "state": "optimized geometry", "cell": [[0.0000, 3.5731, 3.5731], [3.5731, 0.0000, 3.5731], [3.5731, 3.5731, 0.0000]], "species": ["Rb", "Fe", "Pd"], "frac_coords": [[0.0000, 0.0000, 0.0000], [0.7500, 0.7500, 0.7500], [0.2500, 0.2500, 0.2500]], "energy_ry_per_atom": -0.2346, "magnetic_moment_mub_per_fu": 3.2}

{"formula": "RbFePdS3", "functional": "GGA-PBE", "state": "optimized geometry", "cell": [[8.1872, 0.0000, 0.0000], [0.0000, 3.5641, 0.0000], [-3.6246, 0.0000, 8.7797]], "species": ["Rb", "Rb", "Fe", "Fe", "Pd", "Pd", "S", "S", "S", "S", "S", "S"], "frac_coords": [[0.2256, 0.2500, 0.2567], [0.7744, 0.7500, 0.7433], [0.3314, 0.7500, 0.8473], [0.6686, 0.2500, 0.1527], [0.1133, 0.2500, 0.5951], [0.8867, 0.7500, 0.4049], [0.1536, 0.2500, 0.8628], [0.2966, 0.7500, 0.5984], [0.4707, 0.7500, 0.1124], [0.5293, 0.2500, 0.8876], [0.7034, 0.2500, 0.4016], [0.8464, 0.7500, 0.1372]], "energy_ry_per_atom": -0.3633, "magnetic_moment_mub_per_fu": 1.6}

{"formula": "RbFePdSe3", "functional": "GGA-PBE", "state": "optimized geometry", "cell": [[8.4707, 0.0000, 0.0000], [0.0000, 3.7476, 0.0000], [-3.8661, 0.0000, 9.0513]], "species": ["Rb", "Rb", "Fe", "Fe", "Pd", "Pd", "Se", "Se", "Se", "Se", "Se", "Se"], "frac_coords": [[0.2323, 0.2500, 0.2660], [0.7677, 0.7500, 0.7340], [0.3198, 0.7500, 0.8437], [0.6802, 0.2500, 0.1563], [0.0990, 0.2500, 0.5974], [0.9010, 0.7500, 0.4026], [0.1444, 0.2500, 0.8696], [0.2828, 0.7500, 0.5901], [0.4748, 0.7500, 0.1175], [0.5252, 0.2500, 0.8825], [0.7172, 0.2500, 0.4099], [0.8556, 0.7500, 0.1304]], "energy_ry_per_atom": -0.3378, "magnetic_moment_mub_per_fu": 1.7}

{"formula": "Fe2RePd5", "functional": "GGA-PBE", "state": "optimized geometry", "cell": [[4.4275, 0.0000, 0.0000], [0.0000, 2.7317, 4.7772], [0.0000, -2.7317, 4.7772]], "species": ["Fe", "Fe", "Re", "Pd", "Pd", "Pd", "Pd", "Pd"], "frac_coords": [[0.0000, 0.0000, 0.0000], [0.5000, 0.3441, 0.3441], [0.0000, 0.5015, 0.5015], [0.0000, 0.0084, 0.4977], [0.0000, 0.4977, 0.0084], [0.5000, 0.3370, 0.8328], [0.5000, 0.8328, 0.3370], [0.5000, 0.8414, 0.8414]], "formation_energy_ev_per_atom": 0.06, "magnetic_moment_mub_per_fu": 5.8}

{"formula": "Fe2Re3Pd3", "functional": "GGA-PBE", "state": "optimized geometry", "cell": [[5.4294, 0.0000, 0.0000], [0.0000, 4.3548, 0.0000], [-2.6480, 0.0000, 4.7567]], "species": ["Fe", "Fe", "Re", "Re", "Re", "Pd", "Pd", "Pd"], "frac_coords": [[0.0000, 0.0000, 0.0000], [0.3467, 0.5000, 0.6851], [0.5243, 0.0000, 0.0044], [0.8318, 0.5000, 0.1569], [0.8384, 0.5000, 0.6959], [0.0195, 0.0000, 0.5218], [0.3386, 0.5000, 0.1772], [0.5118, 0.0000, 0.5096]], "formation_energy_ev_per_atom": 0.12, "magnetic_moment_mub_per_fu": 3.9}

{"formula": "FeRe6Pd", "functional": "GGA-PBE", "state": "optimized geometry", "cell": [[5.4748, 0.0000, 0.0000], [-2.7374, 4.7413, 0.0000], [0.0000, 0.0000, 4.3839]], "species": ["Fe", "Re", "Re", "Re", "Re", "Re", "Re", "Pd"], "frac_coords": [[0.0000, 0.0000, 0.0000], [0.0089, 0.5045, 0.0000], [0.1681, 0.3363, 0.5000], [0.1681, 0.8319, 0.5000], [0.4955, 0.5045, 0.0000], [0.4955, 0.9911, 0.0000], [0.6637, 0.8319, 0.5000], [0.6667, 0.3333, 0.5000]], "formation_energy_ev_per_atom": 0.00, "magnetic_moment_mub_per_fu": 1.3}

{"formula": "Fe2Re3Pd3", "functional": "GGA-PBE", "state": "optimized geometry", "cell": [[4.3286, 0.0000, 0.0000], [0.0000, 2.7085, 4.8038], [0.0000, -2.7085, 4.8038]], "species": ["Fe", "Fe", "Re", "Re", "Re", "Pd", "Pd", "Pd"], "frac_coords": [[0.0000, 0.0000, 0.0000], [0.5000, 0.3345, 0.3345], [0.0000, 0.4955, 0.4955], [0.5000, 0.3271, 0.8365], [0.5000, 0.8365, 0.3271], [0.0000, 0.0048, 0.4962], [0.0000, 0.4962, 0.0048], [0.5000, 0.8350, 0.8350]], "formation_energy_ev_per_atom": 0.10, "magnetic_moment_mub_per_fu": 4.4}

{"formula": "FeRePd2", "functional": "GGA-PBE", "state": "optimized geometry", "cell": [[0.0000, 3.0584, 3.0584], [3.0584, 0.0000, 3.0584], [3.0584, 3.0584, 0.0000]], "species": ["Fe", "Re", "Pd", "Pd"], "frac_coords": [[0.0000, 0.0000, 0.0000], [0.7500, 0.7500, 0.7500], [0.2500, 0.2500, 0.2500], [0.5000, 0.5000, 0.5000]], "formation_energy_ev_per_atom": 0.28, "magnetic_moment_mub_per_fu": 2.4}

{"formula": "FeRePd2", "functional": "GGA-PBE", "state": "optimized geometry", "cell": [[4.3352, 0.0000, 0.0000], [0.0000, 4.7858, 2.7570], [0.0000, -4.7858, 2.7570]], "species": ["Fe", "Fe", "Re", "Re", "Pd", "Pd", "Pd", "Pd"], "frac_coords": [[0.2500, 0.1585, 0.8415], [0.7500, 0.8415, 0.1585], [0.2500, 0.1627, 0.3142], [0.7500, 0.3142, 0.1627], [0.2500, 0.6587, 0.8260], [0.2500, 0.6749, 0.3221], [0.7500, 0.3221, 0.6749], [0.7500, 0.8260, 0.6587]], "formation_energy_ev_per_atom": 0.07, "magnetic_moment_mub_per_fu": 2.6}

{"formula": "FeRePd", "functional": "GGA-PBE", "state": "optimized geometry", "cell": [[0.0000, 2.8312, 2.8312], [2.8312, 0.0000, 2.8312], [2.8312, 2.8312, 0.0000]], "species": ["Fe", "Re", "Pd"], "frac_coords": [[0.0000, 0.0000, 0.0000], [0.2500, 0.2500, 0.2500], [0.7500, 0.7500, 0.7500]], "formation_energy_ev_per_atom": 0.61, "magnetic_moment_mub_per_fu": 1.4}

{"formula": "FeRePd2", "functional": "GGA-PBE", "state": "optimized geometry", "cell": [[4.4169, 0.0000, 0.0000], [0.0000, 2.7099, 4.7862], [0.0000, -2.7099, 4.7862]], "species": ["Fe", "Fe", "Re", "Re", "Pd", "Pd", "Pd", "Pd"], "frac_coords": [[0.0000, 0.0000, 0.0000], [0.5000, 0.3369, 0.3369], [0.5000, 0.3160, 0.8577], [0.5000, 0.8577, 0.3160], [0.0000, 0.4933, 0.9993], [0.0000, 0.4979, 0.4979], [0.0000, 0.9993, 0.4933], [0.5000, 0.8334, 0.8334]], "formation_energy_ev_per_atom": 0.10, "magnetic_moment_mub_per_fu": 2.7}